A plane-wave DFT calculation with PBE-GGA was carried out for crystalline Cs2ZrSnSe5 at its relaxed geometry.

Unit cell a=10.8332 b=10.8332 c=15.4086 alpha=90.00 beta=90.00 gamma=158.17
Fractional coordinates of all 18 atoms:
1 Cs 0.1318 0.8682 0.5000
2 Cs 0.1328 0.8672 0.8667
3 Cs 0.8672 0.1328 0.3667
4 Cs 0.8682 0.1318 0.0000
5 Zr 0.2104 0.7896 0.2097
6 Zr 0.7896 0.2104 0.7097
7 Sn 0.4310 0.5690 0.6049
8 Sn 0.5690 0.4310 0.1049
9 Se 0.0635 0.9365 0.2136
10 Se 0.3039 0.6961 0.8201
11 Se 0.3103 0.6897 0.5801
12 Se 0.3246 0.6754 0.1837
13 Se 0.4919 0.5081 0.4697
14 Se 0.5081 0.4919 0.9697
15 Se 0.6754 0.3246 0.6837
16 Se 0.6897 0.3103 0.0801
17 Se 0.6961 0.3039 0.3201
18 Se 0.9365 0.0635 0.7136

final energy: -4.549 eV/atom
symmetry: Cmc2_1 (36)
V: 336 Å³/f.u.

=====

A plane-wave DFT calculation with PBE-GGA was carried out for crystalline CsSr2Se2 at its relaxed geometry.

Unit cell a=7.6488 b=7.6488 c=7.6488 alpha=135.13 beta=135.13 gamma=65.33
Fractional coordinates of all 5 atoms:
1 Cs 0.0000 0.0000 0.0000
2 Sr 0.3188 0.3188 0.0000
3 Sr 0.6812 0.6812 0.0000
4 Se 0.2500 0.7500 0.5000
5 Se 0.7500 0.2500 0.5000

final energy: -3.642 eV/atom
energy above the lowest structure with this stoichiometry: 0.000 eV per atom
symmetry: I4/mmm (139)
V: 219 Å³/f.u.

=====

A plane-wave DFT calculation with PBE-GGA was carried out for crystalline Cs2SrSe2 at its relaxed geometry.

Unit cell a=8.7677 b=8.7677 c=5.3796 alpha=90.00 beta=90.00 gamma=90.00
Fractional coordinates of all 10 atoms:
1 Cs 0.1383 0.3617 0.0000
2 Cs 0.3617 0.8617 0.0000
3 Cs 0.6383 0.1383 0.0000
4 Cs 0.8617 0.6383 0.0000
5 Sr 0.0000 0.0000 0.5000
6 Sr 0.5000 0.5000 0.5000
7 Se 0.1827 0.6827 0.5000
8 Se 0.3173 0.1827 0.5000
9 Se 0.6827 0.8173 0.5000
10 Se 0.8173 0.3173 0.5000

final energy: -3.200 eV/atom
symmetry: P4/mbm (127)
V: 207 Å³/f.u.

=====

A plane-wave DFT calculation with PBE-GGA was carried out for crystalline Cs2SrSe10 at its relaxed geometry.

Unit cell a=7.6848 b=7.7100 c=15.4655 alpha=90.00 beta=97.01 gamma=90.00
Fractional coordinates of all 26 atoms:
1 Cs 0.0682 0.0288 0.3622
2 Cs 0.0682 0.4712 0.8622
3 Cs 0.9318 0.5288 0.1378
4 Cs 0.9318 0.9712 0.6378
5 Sr 0.5000 0.0000 0.0000
6 Sr 0.5000 0.5000 0.5000
7 Se 0.0812 0.0030 0.0887
8 Se 0.0812 0.4970 0.5887
9 Se 0.1864 0.5526 0.3444
10 Se 0.1864 0.9474 0.8444
11 Se 0.3180 0.1801 0.1616
12 Se 0.3180 0.3199 0.6616
13 Se 0.4680 0.5925 0.0666
14 Se 0.4680 0.9075 0.5666
15 Se 0.4840 0.5304 0.2270
16 Se 0.4840 0.9696 0.7270
17 Se 0.5160 0.0304 0.2730
18 Se 0.5160 0.4696 0.7730
19 Se 0.5320 0.0925 0.4334
20 Se 0.5320 0.4075 0.9334
21 Se 0.6820 0.6801 0.3384
22 Se 0.6820 0.8199 0.8384
23 Se 0.8136 0.0526 0.1556
24 Se 0.8136 0.4474 0.6556
25 Se 0.9188 0.5030 0.4113
26 Se 0.9188 0.9970 0.9113

final energy: -3.507 eV/atom
symmetry: P2_1/c (14)
V: 455 Å³/f.u.

=====

A plane-wave DFT calculation with PBE-GGA was carried out for crystalline CsSrSe2 at its relaxed geometry.

Unit cell a=9.7585 b=9.7585 c=9.7585 alpha=137.32 beta=137.32 gamma=61.94
Fractional coordinates of all 8 atoms:
1 Cs 0.0000 0.0000 0.0000
2 Cs 0.7500 0.2500 0.5000
3 Sr 0.2500 0.7500 0.5000
4 Sr 0.5000 0.5000 0.0000
5 Se 0.2113 0.6250 0.0863
6 Se 0.3750 0.4613 0.5863
7 Se 0.5387 0.1250 0.9137
8 Se 0.8750 0.7887 0.4137

final energy: -3.468 eV/atom
symmetry: I-42d (122)
V: 211 Å³/f.u.

=====

A plane-wave DFT calculation with PBE-GGA was carried out for crystalline CsSr2Se2 at its relaxed geometry.

Unit cell a=8.9708 b=8.9708 c=4.1735 alpha=90.00 beta=90.00 gamma=90.00
Fractional coordinates of all 10 atoms:
1 Cs 0.0000 0.0000 0.0000
2 Cs 0.5000 0.5000 0.0000
3 Sr 0.1488 0.3512 0.5000
4 Sr 0.3512 0.8512 0.5000
5 Sr 0.6488 0.1488 0.5000
6 Sr 0.8512 0.6488 0.5000
7 Se 0.1463 0.6463 0.0000
8 Se 0.3537 0.1463 0.0000
9 Se 0.6463 0.8537 0.0000
10 Se 0.8537 0.3537 0.0000

final energy: -3.500 eV/atom
energy above the lowest structure with this stoichiometry: 0.142 eV per atom
symmetry: P4/mbm (127)
V: 168 Å³/f.u.

=====

A plane-wave DFT calculation with PBE-GGA was carried out for crystalline CsSrSe3 at its relaxed geometry.

Unit cell a=5.9758 b=5.9758 c=5.9758 alpha=90.00 beta=90.00 gamma=90.00
Fractional coordinates of all 5 atoms:
1 Cs 0.0000 0.0000 0.0000
2 Sr 0.5000 0.5000 0.5000
3 Se 0.0000 0.5000 0.5000
4 Se 0.5000 0.0000 0.5000
5 Se 0.5000 0.5000 0.0000

final energy: -3.252 eV/atom
energy above the lowest structure with this stoichiometry: 0.000 eV per atom
symmetry: Pm-3m (221)
V: 213 Å³/f.u.

=====

A plane-wave DFT calculation with PBE-GGA was carried out for crystalline CsSrSe3 at its relaxed geometry.

Unit cell a=5.7984 b=5.7984 c=5.7984 alpha=90.00 beta=90.00 gamma=90.00
Fractional coordinates of all 5 atoms:
1 Cs 0.0000 0.0000 0.0000
2 Sr 0.5000 0.5000 0.5000
3 Se 0.0000 0.0000 0.5000
4 Se 0.0000 0.5000 0.0000
5 Se 0.5000 0.0000 0.0000

final energy: -2.580 eV/atom
energy above the lowest structure with this stoichiometry: 0.671 eV per atom
symmetry: Pm-3m (221)
V: 195 Å³/f.u.

=====

A plane-wave DFT calculation with PBE-GGA was carried out for crystalline Cs3SrSe at its relaxed geometry.

Unit cell a=7.1315 b=7.1315 c=7.1315 alpha=90.00 beta=90.00 gamma=90.00
Fractional coordinates of all 5 atoms:
1 Cs 0.0000 0.0000 0.5000
2 Cs 0.0000 0.5000 0.0000
3 Cs 0.5000 0.0000 0.0000
4 Sr 0.5000 0.5000 0.5000
5 Se 0.0000 0.0000 0.0000

final energy: -1.941 eV/atom
energy above the lowest structure with this stoichiometry: 0.000 eV per atom
symmetry: Pm-3m (221)
V: 363 Å³/f.u.

=====

A plane-wave DFT calculation with PBE-GGA was carried out for crystalline Cs2Sr2TaSe6 at its relaxed geometry.

Unit cell a=7.3843 b=7.3843 c=8.8557 alpha=98.77 beta=98.77 gamma=118.52
Fractional coordinates of all 11 atoms:
1 Cs 0.1772 0.8228 0.0000
2 Cs 0.8228 0.1772 0.0000
3 Sr 0.3353 0.6647 0.5000
4 Sr 0.6647 0.3353 0.5000
5 Ta 0.0000 0.0000 0.5000
6 Se 0.0657 0.3510 0.6829
7 Se 0.2166 0.2166 0.3170
8 Se 0.3510 0.0657 0.6829
9 Se 0.6490 0.9343 0.3171
10 Se 0.7834 0.7834 0.6830
11 Se 0.9343 0.6490 0.3171

final energy: -4.683 eV/atom
symmetry: C2/m (12)
V: 405 Å³/f.u.

=====

> The highest V belongs to which entry?

Cs2SrSe10